Material: LiCoO2
Method: DFT, PBE with a Hubbard U
State: optimized geometry

Cell: 2.840 2.840 5.000 Å, 90.01 73.49 60.00°
Fractional coordinates of all 4 atoms:
Co  0.000  0.000  0.000
O  0.521  0.740  0.218
O  0.479  0.260  0.782
Li  0.000  0.500  0.500

Results
M_tot = 0.00 μB/cell
total DFT energy (no corrections) = -5.68 eV/atom
Fermi-level density of states = 0.00 states/eV per cell

Material: LiCoO2
Method: DFT, PBE with a Hubbard U
State: optimized geometry

Cell: 3.600 3.600 3.600 Å, 60.00 60.00 60.00°
Each line ends with the local moment (μB).
Fractional coordinates of all 4 atoms:
Co  0.500  0.500  0.500  2.52
O  0.250  0.250  0.250  -0.24
O  0.750  0.750  0.750  -0.24
Li  0.000  0.000  0.000  0.01

Results
M_tot = 2.00 μB/cell
total DFT energy (no corrections) = -5.17 eV/atom
Fermi-level density of states = 2.69 states/eV per cell

Material: Li9Co7O16
Method: DFT, PBE with a Hubbard U
State: optimized geometry

Cell: 7.722 7.722 5.134 Å, 76.79 76.79 97.19°
Each line ends with the local moment (μB).
Fractional coordinates of all 32 atoms:
Li  0.624  0.376  0.500  0.02
Li  0.259  0.259  0.496  0.01
Li  0.875  0.125  0.500  0.02
Li  0.500  0.000  0.500  0.01
Li  0.125  0.875  0.500  0.02
Li  0.741  0.741  0.504  0.01
Li  0.376  0.624  0.500  0.02
Li  0.000  0.500  0.500  0.01
Li  0.500  0.500  0.000  0.01
Co  0.744  0.256  0.000  2.96
Co  0.256  0.744  0.000  2.96
Co  0.375  0.128  0.004  3.02
Co  0.000  0.000  0.000  -1.08
Co  0.625  0.872  0.996  3.02
Co  0.872  0.625  0.996  3.02
Co  0.128  0.375  0.004  3.02
O  0.758  0.493  0.764  0.27
O  0.360  0.360  0.775  0.32
O  0.995  0.232  0.784  0.15
O  0.624  0.116  0.770  0.32
O  0.232  0.995  0.784  0.15
O  0.883  0.883  0.776  0.24
O  0.493  0.758  0.764  0.27
O  0.116  0.624  0.770  0.32
O  0.507  0.242  0.236  0.27
O  0.117  0.117  0.224  0.24
O  0.768  0.005  0.216  0.15
O  0.376  0.884  0.230  0.32
O  0.005  0.768  0.216  0.15
O  0.640  0.640  0.225  0.32
O  0.242  0.507  0.236  0.27
O  0.884  0.376  0.230  0.32

Results
M_tot = 22.00 μB/cell
total DFT energy (no corrections) = -5.51 eV/atom
offset from the most stable computed form = 77 meV per atom
Fermi-level density of states = 11.45 states/eV per cell

Material: Li7Co2O6
Method: DFT, PBE with a Hubbard U
State: optimized geometry

Cell: 8.762 8.762 3.724 Å, 90.00 90.00 90.00°
Each line ends with the local moment (μB).
Fractional coordinates of all 30 atoms:
Li  0.500  0.500  0.500  0.00
Li  0.611  0.325  0.210  0.00
Li  0.659  0.159  0.750  0.00
Li  0.675  0.611  0.790  0.00
Li  0.841  0.659  0.250  0.00
Li  0.825  0.111  0.290  0.00
Li  0.889  0.825  0.710  0.00
Li  0.000  0.000  0.000  0.00
Li  0.111  0.175  0.710  0.00
Li  0.175  0.889  0.290  0.00
Li  0.159  0.341  0.250  0.00
Li  0.325  0.389  0.790  0.00
Li  0.341  0.841  0.750  0.00
Li  0.389  0.675  0.210  0.00
Co  0.885  0.385  0.750  1.46
Co  0.115  0.615  0.750  1.46
Co  0.615  0.885  0.250  1.46
Co  0.385  0.115  0.250  1.46
O  0.601  0.101  0.250  0.04
O  0.614  0.670  0.278  0.00
O  0.670  0.386  0.722  0.00
O  0.830  0.886  0.222  0.00
O  0.886  0.170  0.778  0.00
O  0.899  0.601  0.750  0.04
O  0.101  0.399  0.750  0.04
O  0.114  0.830  0.778  0.00
O  0.170  0.114  0.222  0.00
O  0.330  0.614  0.722  0.00
O  0.386  0.330  0.278  0.00
O  0.399  0.899  0.250  0.04

Results
M_tot = 6.00 μB/cell
total DFT energy (no corrections) = -5.09 eV/atom
offset from the most stable computed form = 48 meV per atom
Fermi-level density of states = 1.42 states/eV per cell

Material: LiCoO2
Method: DFT, PBE with a Hubbard U
State: optimized geometry

Cell: 5.509 7.822 6.515 Å, 97.20 58.93 124.71°
Each line ends with the local moment (μB).
Fractional coordinates of all 20 atoms:
Li  0.438  0.065  0.380  0.01
Li  0.777  0.710  0.790  0.01
Li  0.500  0.500  0.500  0.01
Li  0.223  0.290  0.210  0.01
Li  0.562  0.935  0.620  0.01
Co  0.594  0.294  0.753  2.58
Co  0.000  0.500  0.000  2.42
Co  0.889  0.103  0.905  2.62
Co  0.111  0.897  0.095  2.62
Co  0.406  0.706  0.247  2.58
O  0.279  0.392  0.901  0.05
O  0.468  0.811  0.919  0.07
O  0.028  0.281  0.580  0.07
O  0.764  0.980  0.268  0.12
O  0.112  0.501  0.630  0.10
O  0.888  0.499  0.370  0.10
O  0.236  0.020  0.732  0.12
O  0.972  0.719  0.420  0.07
O  0.532  0.189  0.081  0.07
O  0.721  0.608  0.099  0.05

Results
M_tot = 13.91 μB/cell
total DFT energy (no corrections) = -5.38 eV/atom
Fermi-level density of states = 2.36 states/eV per cell

Material: Li2CoO
Method: DFT, PBE with a Hubbard U
State: optimized geometry

Cell: 3.957 3.957 3.957 Å, 60.00 60.00 60.00°
Each line ends with the local moment (μB).
Fractional coordinates of all 4 atoms:
Co  0.500  0.500  0.500  1.95
O  0.000  0.000  0.000  0.06
Li  0.250  0.250  0.250  -0.01
Li  0.750  0.750  0.750  -0.01

Results
M_tot = 2.05 μB/cell
total DFT energy (no corrections) = -3.66 eV/atom
Fermi-level density of states = 0.99 states/eV per cell

Material: LiCoO2
Method: DFT, PBE with a Hubbard U
State: optimized geometry

Cell: 3.001 3.001 3.821 Å, 90.00 90.00 90.00°
Each line ends with the local moment (μB).
Fractional coordinates of all 4 atoms:
Li  0.000  0.000  0.000  0.01
Co  0.500  0.500  0.500  2.90
O  0.000  0.000  0.500  0.26
O  0.500  0.500  0.000  0.32

Results
M_tot = 3.57 μB/cell
total DFT energy (no corrections) = -5.50 eV/atom
Fermi-level density of states = 0.69 states/eV per cell

Material: Li4Co3O7
Method: DFT, PBE with a Hubbard U
State: optimized geometry

Cell: 6.501 6.501 14.170 Å, 68.98 68.98 25.16°
Each line ends with the local moment (μB).
Fractional coordinates of all 28 atoms:
Li  0.708  0.708  0.930  0.00
Li  0.292  0.292  0.070  0.00
Li  0.858  0.858  0.211  -0.01
Li  0.142  0.142  0.789  -0.01
Li  0.572  0.572  0.642  0.00
Li  0.428  0.428  0.358  0.00
Li  0.000  0.000  0.500  -0.01
Li  0.000  0.000  0.000  -0.01
Co  0.431  0.431  0.859  -0.88
Co  0.569  0.569  0.141  -0.88
Co  0.140  0.140  0.284  0.02
Co  0.709  0.709  0.429  -1.90
Co  0.291  0.291  0.571  -1.90
Co  0.860  0.860  0.716  0.02
O  0.864  0.864  0.951  0.01
O  0.440  0.440  0.114  -0.14
O  0.014  0.014  0.240  0.03
O  0.299  0.299  0.815  0.01
O  0.731  0.731  0.670  0.05
O  0.575  0.575  0.380  -0.09
O  0.148  0.148  0.526  -0.04
O  0.560  0.560  0.886  -0.14
O  0.136  0.136  0.049  0.01
O  0.701  0.701  0.185  0.01
O  0.986  0.986  0.760  0.03
O  0.425  0.425  0.620  -0.09
O  0.269  0.269  0.330  0.05
O  0.852  0.852  0.474  -0.04

Results
M_tot = 5.97 μB/cell
total DFT energy (no corrections) = -5.53 eV/atom
offset from the most stable computed form = 45 meV per atom

Material: LiCoO2
Method: DFT, PBE with a Hubbard U
State: optimized geometry

Cell: 2.937 2.937 9.866 Å, 90.00 90.00 60.00°
Each line ends with the local moment (μB).
Fractional coordinates of all 8 atoms:
Co  0.333  0.333  0.999  3.07
Co  0.667  0.667  0.499  3.07
O  0.000  0.000  0.113  0.37
O  0.000  0.000  0.613  0.37
O  0.333  0.333  0.387  0.40
O  0.667  0.667  0.887  0.40
Li  0.333  0.333  0.742  0.01
Li  0.667  0.667  0.242  0.01

Results
M_tot = 8.00 μB/cell
total DFT energy (no corrections) = -5.54 eV/atom

Material: Li4Co3O7
Method: DFT, PBE with a Hubbard U
State: optimized geometry

Cell: 4.918 5.744 8.584 Å, 91.05 95.72 106.47°
Each line ends with the local moment (μB).
Fractional coordinates of all 28 atoms:
Li  0.845  0.207  0.715  0.01
Li  0.712  0.929  0.430  0.00
Li  0.287  0.067  0.572  0.00
Li  0.145  0.785  0.284  0.00
Li  0.571  0.648  0.142  0.00
Li  0.012  0.507  0.999  0.01
Li  0.429  0.357  0.857  0.00
Li  0.429  0.857  0.857  0.01
Co  0.994  0.998  0.998  0.98
Co  0.863  0.717  0.716  0.98
Co  0.715  0.428  0.429  0.00
Co  0.571  0.142  0.142  0.01
Co  0.286  0.572  0.573  0.01
Co  0.142  0.286  0.285  0.00
O  0.112  0.015  0.791  0.00
O  0.996  0.728  0.510  -0.03
O  0.577  0.866  0.643  0.00
O  0.422  0.583  0.366  0.00
O  0.849  0.441  0.226  0.00
O  0.278  0.296  0.078  -0.01
O  0.731  0.170  0.947  0.06
O  0.580  0.418  0.636  -0.01
O  0.435  0.132  0.348  0.00
O  0.008  0.273  0.488  0.00
O  0.861  0.986  0.204  -0.03
O  0.280  0.848  0.072  0.00
O  0.745  0.700  0.923  0.00
O  0.126  0.545  0.767  0.06

Results
M_tot = 2.05 μB/cell
total DFT energy (no corrections) = -5.57 eV/atom
offset from the most stable computed form = 0 meV per atom

Material: Li5Co8O16
Method: DFT, PBE with a Hubbard U
State: optimized geometry

Cell: 10.004 5.641 9.768 Å, 90.02 87.84 82.55°
Each line ends with the local moment (μB).
Fractional coordinates of all 58 atoms:
Li  0.747  0.066  0.554  0.00
Li  0.747  0.066  0.980  0.00
Li  0.249  0.189  0.744  0.00
Li  0.222  0.191  0.076  0.00
Li  0.747  0.315  0.273  0.00
Li  0.743  0.577  0.001  0.00
Li  0.262  0.672  0.214  0.00
Li  0.252  0.683  0.739  0.00
Li  0.748  0.568  0.552  0.00
Li  0.256  0.994  0.437  0.00
Co  0.002  0.003  0.995  -0.01
Co  0.999  0.009  0.496  -0.03
Co  0.003  0.255  0.248  -0.01
Co  0.501  0.126  0.874  0.01
Co  0.504  0.125  0.375  0.01
Co  0.993  0.259  0.748  -0.01
Co  0.504  0.375  0.126  -1.09
Co  0.005  0.507  0.496  -0.03
Co  0.004  0.506  0.995  -1.06
Co  0.497  0.377  0.624  1.11
Co  0.993  0.759  0.248  1.11
Co  0.991  0.759  0.748  -1.07
Co  0.499  0.626  0.876  0.01
Co  0.505  0.625  0.376  0.01
Co  0.506  0.874  0.126  0.04
Co  0.499  0.876  0.625  1.10
O  0.898  0.034  0.334  -0.03
O  0.606  0.109  0.205  0.02
O  0.398  0.146  0.547  -0.03
O  0.100  0.231  0.411  -0.01
O  0.407  0.147  0.047  0.01
O  0.103  0.233  0.911  0.01
O  0.597  0.106  0.700  -0.04
O  0.898  0.029  0.836  0.00
O  0.102  0.486  0.158  -0.01
O  0.608  0.350  0.459  -0.01
O  0.406  0.401  0.293  0.03
O  0.098  0.489  0.666  0.01
O  0.897  0.284  0.584  0.00
O  0.397  0.400  0.791  -0.03
O  0.604  0.353  0.955  0.02
O  0.899  0.282  0.082  0.02
O  0.405  0.647  0.050  0.01
O  0.099  0.731  0.904  0.04
O  0.100  0.740  0.403  -0.03
O  0.596  0.602  0.701  -0.05
O  0.897  0.531  0.840  0.04
O  0.607  0.593  0.204  0.02
O  0.901  0.527  0.335  -0.01
O  0.399  0.652  0.547  -0.03
O  0.101  0.976  0.161  -0.01
O  0.899  0.775  0.079  0.01
O  0.403  0.894  0.297  0.00
O  0.099  0.982  0.663  0.03
O  0.604  0.852  0.954  0.00
O  0.604  0.854  0.463  -0.02
O  0.896  0.781  0.585  0.00
O  0.396  0.900  0.793  -0.01

Results
M_tot = 0.01 μB/cell
total DFT energy (no corrections) = -5.70 eV/atom
offset from the most stable computed form = 0 meV per atom

Material: Li8Co5O10
Method: DFT, PBE with a Hubbard U
State: optimized geometry

Cell: 5.244 6.497 8.132 Å, 91.55 103.87 112.64°
Each line ends with the local moment (μB).
Fractional coordinates of all 23 atoms:
Li  0.911  0.331  0.067  0.00
Li  0.718  0.158  0.444  0.00
Li  0.494  0.065  0.138  0.00
Li  0.677  0.238  0.756  -0.01
Li  0.272  0.707  0.267  0.00
Li  0.301  0.884  0.542  0.00
Li  0.093  0.520  0.650  0.00
Li  0.124  0.697  0.932  0.00
Co  0.901  0.897  0.200  -1.12
Co  0.500  0.501  0.004  -1.72
Co  0.697  0.702  0.600  -1.78
Co  0.296  0.298  0.407  -1.07
Co  0.106  0.102  0.793  -1.09
O  0.915  0.179  0.268  -0.01
O  0.893  0.628  0.098  -0.02
O  0.671  0.410  0.561  -0.02
O  0.302  0.018  0.324  0.04
O  0.498  0.763  0.093  -0.05
O  0.492  0.224  0.938  -0.01
O  0.725  0.990  0.644  -0.03
O  0.315  0.587  0.485  -0.02
O  0.111  0.384  0.875  -0.01
O  0.086  0.818  0.715  -0.02

Results
M_tot = 7.00 μB/cell
total DFT energy (no corrections) = -5.36 eV/atom
offset from the most stable computed form = 12 meV per atom

Material: Li7Co2O6
Method: DFT, PBE with a Hubbard U
State: optimized geometry

Cell: 5.348 5.650 5.558 Å, 119.75 89.45 90.14°
Each line ends with the local moment (μB).
Fractional coordinates of all 15 atoms:
Li  0.909  0.591  0.220  0.01
Li  0.824  0.017  0.883  0.01
Li  0.573  0.705  0.997  0.00
Li  0.375  0.294  0.905  0.00
Li  0.182  0.018  0.172  0.01
Li  0.047  0.602  0.780  0.01
Li  0.040  0.089  0.580  0.00
Co  0.386  0.690  0.491  2.66
Co  0.633  0.277  0.490  2.91
O  0.811  0.990  0.227  0.23
O  0.753  0.339  0.847  0.17
O  0.736  0.644  0.569  0.22
O  0.290  0.324  0.526  0.25
O  0.260  0.666  0.161  0.11
O  0.199  0.961  0.809  0.10

Results
M_tot = 7.00 μB/cell
total DFT energy (no corrections) = -5.13 eV/atom
offset from the most stable computed form = 3 meV per atom

Material: Li4Co3O7
Method: DFT, PBE with a Hubbard U
State: optimized geometry

Cell: 9.613 9.613 9.539 Å, 64.69 64.69 16.95°
Each line ends with the local moment (μB).
Fractional coordinates of all 28 atoms:
Li  0.572  0.572  0.214  0.00
Li  0.863  0.863  0.064  0.00
Li  0.137  0.137  0.936  0.00
Li  0.428  0.428  0.786  0.00
Li  0.715  0.715  0.644  0.00
Li  0.000  0.000  0.500  0.00
Li  0.285  0.285  0.356  0.00
Li  0.500  0.500  0.000  -0.01
Co  0.931  0.931  0.281  -0.86
Co  0.069  0.069  0.719  -0.86
Co  0.214  0.214  0.143  -0.01
Co  0.786  0.786  0.857  -0.01
Co  0.356  0.356  0.571  0.00
Co  0.644  0.644  0.429  0.00
O  0.456  0.456  0.391  0.03
O  0.743  0.743  0.247  0.00
O  0.028  0.028  0.126  -0.17
O  0.314  0.314  0.962  0.00
O  0.603  0.603  0.806  0.01
O  0.885  0.885  0.673  0.00
O  0.171  0.171  0.535  0.01
O  0.686  0.686  0.038  0.00
O  0.972  0.972  0.874  -0.17
O  0.257  0.257  0.753  0.00
O  0.544  0.544  0.609  0.03
O  0.829  0.829  0.465  0.01
O  0.115  0.115  0.327  0.00
O  0.397  0.397  0.194  0.01

Results
M_tot = 2.08 μB/cell
total DFT energy (no corrections) = -5.56 eV/atom
offset from the most stable computed form = 13 meV per atom

Material: Li6CoO4
Method: DFT, PBE with a Hubbard U
State: optimized geometry

Cell: 4.698 6.593 6.593 Å, 90.00 90.00 90.00°
Each line ends with the local moment (μB).
Fractional coordinates of all 22 atoms:
Li  0.452  0.500  0.000  0.01
Li  0.952  0.500  0.000  0.01
Li  0.048  0.000  0.500  0.01
Li  0.548  0.000  0.500  0.01
Li  0.000  0.718  0.718  0.00
Li  0.500  0.218  0.782  0.00
Li  0.500  0.782  0.782  0.00
Li  0.000  0.718  0.282  0.00
Li  0.500  0.782  0.218  0.00
Li  0.000  0.282  0.282  0.00
Li  0.500  0.218  0.218  0.00
Li  0.000  0.282  0.718  0.00
Co  0.000  0.000  0.000  2.63
Co  0.500  0.500  0.500  2.63
O  0.714  0.500  0.763  0.06
O  0.286  0.763  0.500  0.06
O  0.786  0.000  0.263  0.06
O  0.286  0.237  0.500  0.06
O  0.214  0.263  0.000  0.06
O  0.714  0.500  0.237  0.06
O  0.786  0.000  0.737  0.06
O  0.214  0.737  0.000  0.06

Results
M_tot = 6.00 μB/cell
total DFT energy (no corrections) = -5.01 eV/atom
Fermi-level density of states = 0.00 states/eV per cell